*A*
First-principles (SCAN) data for a PBEsol-optimized structure of KMg2Os, as listed in Alexandria via LeMat-Bulk.

Properties
volume = 99.4 Å³/f.u.

Cell and atoms, written as POSCAR:
```
KMg2Os
1.0
3.461 0.000 0.000
0.000 3.461 0.000
0.000 0.000 8.296
K Mg Os
1 2 1
Direct
0.000 0.000 0.000
0.000 0.000 0.602
0.500 0.500 0.385
0.500 0.500 0.706
```

=====

*B*
First-principles (SCAN) data for a PBEsol-optimized structure of KMg2Os, as listed in Alexandria via LeMat-Bulk.

Properties
volume = 80.1 Å³/f.u.

Cell and atoms, written as POSCAR:
```
KMg2Os
1.0
0.000 3.422 3.422
3.422 0.000 3.422
3.422 3.422 0.000
K Mg Os
1 2 1
Direct
0.000 0.000 0.000
0.250 0.250 0.250
0.750 0.750 0.750
0.500 0.500 0.500
```

=====

*A* is the most stable structure; the next one sits 131 meV per atom above it.

=====

*A*
First-principles (SCAN) data for a PBEsol-optimized structure of K2MgP, as listed in Alexandria via LeMat-Bulk.

Properties
volume = 123.6 Å³/f.u.

Cell and atoms, written as POSCAR:
```
K2MgP
1.0
1.759 1.016 11.528
-1.759 1.016 11.528
0.000 -2.031 11.528
K Mg P
2 1 1
Direct
0.235 0.235 0.235
0.765 0.765 0.765
0.000 0.000 0.000
0.500 0.500 0.500
```

=====

*B*
First-principles (SCAN) data for a PBEsol-optimized structure of K2MgP, as listed in Alexandria via LeMat-Bulk.

Properties
volume = 110.4 Å³/f.u.

Cell and atoms, written as POSCAR:
```
K2MgP
1.0
0.000 3.807 3.807
3.807 0.000 3.807
3.807 3.807 0.000
K Mg P
2 1 1
Direct
0.000 0.000 0.000
0.250 0.250 0.250
0.750 0.750 0.750
0.500 0.500 0.500
```

=====

*B* is the most stable structure; the next one sits 253 meV per atom above it.

=====

*A*
First-principles (SCAN) data for a PBEsol-optimized structure of K2MgRe, as listed in Alexandria via LeMat-Bulk.

Properties
volume = 134.6 Å³/f.u.

Cell and atoms, written as POSCAR:
```
K2MgRe
1.0
-1.379 2.422 10.079
1.379 -2.422 10.079
1.379 2.422 -10.079
K Mg Re
2 1 1
Direct
0.149 0.149 0.000
0.851 0.851 0.000
0.500 0.000 0.500
0.000 0.500 0.500
```

=====

*B*
First-principles (SCAN) data for a PBEsol-optimized structure of K2MgRe, as listed in Alexandria via LeMat-Bulk.

Properties
volume = 92.0 Å³/f.u.

Cell and atoms, written as POSCAR:
```
K2MgRe
1.0
2.847 0.000 0.000
0.000 5.321 0.000
0.000 0.000 6.076
K Mg Re
2 1 1
Direct
0.000 0.000 0.000
0.500 0.500 0.000
0.000 0.500 0.500
0.500 0.000 0.500
```

=====

*A* is the most stable structure; the next one sits 310 meV per atom above it.

=====

*A*
First-principles (SCAN) data for a PBEsol-optimized structure of K2MgSb, as listed in Alexandria via LeMat-Bulk.

Properties
volume = 130.4 Å³/f.u.

Cell and atoms, written as POSCAR:
```
K2MgSb
1.0
0.000 4.025 4.025
4.025 0.000 4.025
4.025 4.025 0.000
K Mg Sb
2 1 1
Direct
0.000 0.000 0.000
0.250 0.250 0.250
0.500 0.500 0.500
0.750 0.750 0.750
```

=====

*B*
First-principles (SCAN) data for a PBEsol-optimized structure of K2MgSb, as listed in Alexandria via LeMat-Bulk.

Properties
volume = 138.4 Å³/f.u.

Cell and atoms, written as POSCAR:
```
K2MgSb
1.0
-2.381 2.381 12.211
2.381 -2.381 12.211
2.381 2.381 -12.211
K Mg Sb
4 2 2
Direct
0.114 0.625 0.989
0.375 0.364 0.489
0.636 0.125 0.011
0.875 0.886 0.511
0.250 0.750 0.500
0.500 0.500 0.000
0.000 0.000 0.000
0.750 0.250 0.500
```

=====

*C*
First-principles (SCAN) data for a PBEsol-optimized structure of K2MgSb, as listed in Alexandria via LeMat-Bulk.

Properties
volume = 131.1 Å³/f.u.

Cell and atoms, written as POSCAR:
```
K2MgSb
1.0
-2.535 2.535 5.099
2.535 -2.535 5.099
2.535 2.535 -5.099
K Mg Sb
2 1 1
Direct
0.250 0.750 0.500
0.750 0.250 0.500
0.000 0.000 0.000
0.500 0.500 0.000
```

=====

*A* is the most stable structure; the next one sits 25 meV per atom above it.

=====

*A*
First-principles (SCAN) data for a PBEsol-optimized structure of KMn2Mo, as listed in Alexandria via LeMat-Bulk.

Properties
volume = 67.0 Å³/f.u.

Cell and atoms, written as POSCAR:
```
KMn2Mo
1.0
2.674 0.000 0.000
0.000 2.674 0.000
0.000 0.000 9.369
K Mn Mo
1 2 1
Direct
0.000 0.000 0.000
0.000 0.000 0.460
0.500 0.500 0.315
0.500 0.500 0.664
```

=====

*B*
First-principles (SCAN) data for a PBEsol-optimized structure of KMn2Mo, as listed in Alexandria via LeMat-Bulk.

Properties
volume = 74.7 Å³/f.u.

Cell and atoms, written as POSCAR:
```
KMn2Mo
1.0
-2.060 2.583 3.510
2.060 -2.583 3.510
2.060 2.583 -3.510
K Mn Mo
1 2 1
Direct
0.000 0.000 0.000
0.292 0.792 0.500
0.708 0.208 0.500
0.500 0.500 0.000
```

=====

*C*
First-principles (SCAN) data for a PBEsol-optimized structure of KMn2Mo, as listed in Alexandria via LeMat-Bulk.

Properties
volume = 78.5 Å³/f.u.

Cell and atoms, written as POSCAR:
```
KMn2Mo
1.0
2.785 0.000 0.000
0.000 3.814 0.000
0.000 0.000 7.389
K Mn Mo
1 2 1
Direct
0.000 0.000 0.000
0.500 0.500 0.367
0.500 0.500 0.633
0.000 0.000 0.500
```

=====

*A* is the most stable structure; the next one sits 214 meV per atom above it.

=====

*A*
First-principles (SCAN) data for a PBEsol-optimized structure of K2MnNi, as listed in Alexandria via LeMat-Bulk.

Properties
volume = 115.1 Å³/f.u.

Cell and atoms, written as POSCAR:
```
K2MnNi
1.0
-1.688 2.879 5.925
1.688 -2.879 5.925
1.688 2.879 -5.925
K Mn Ni
2 1 1
Direct
0.000 0.000 0.000
0.697 0.197 0.500
0.386 0.386 0.000
0.258 0.758 0.500
```

=====

*B*
First-principles (SCAN) data for a PBEsol-optimized structure of K2MnNi, as listed in Alexandria via LeMat-Bulk.

Properties
volume = 101.3 Å³/f.u.

Cell and atoms, written as POSCAR:
```
K2MnNi
1.0
3.578 0.000 0.000
0.000 5.014 0.000
0.000 0.000 5.648
K Mn Ni
2 1 1
Direct
0.000 0.000 0.242
0.000 0.000 0.758
0.500 0.500 0.500
0.500 0.500 0.000
```

=====

*C*
First-principles (SCAN) data for a PBEsol-optimized structure of K2MnNi, as listed in Alexandria via LeMat-Bulk.

Properties
volume = 112.8 Å³/f.u.

Cell and atoms, written as POSCAR:
```
K2MnNi
1.0
3.198 0.000 0.000
0.000 3.566 0.000
-0.351 0.000 9.892
K Mn Ni
2 1 1
Direct
0.000 0.000 0.000
0.440 0.500 0.582
0.541 0.500 0.271
0.042 0.000 0.315
```

=====

*C* is the most stable structure; the next one sits 138 meV per atom above it.